Entry 1:
MnSiMo PBE optimized geometry; space-group type = No. 107; raw formation energy = -250 meV per atom; E = -26.2 eV per formula unit; crystal system = tetragonal
1.0
-1.441 1.441 4.572
1.441 -1.441 4.572
1.441 1.441 -4.572
Mn Si Mo
1 1 1
Direct
0.000 0.000 0.000 Mn
0.362 0.362 0.000 Si
0.675 0.675 0.000 Mo



Entry 2:
AlSi2Ru PBE optimized geometry; space-group type = No. 166; raw formation energy = -145 meV per atom; E = -24.4 eV per formula unit; crystal system = trigonal
1.0
1.488 0.859 7.615
-1.488 0.859 7.615
0.000 -1.718 7.615
Al Si Ru
1 2 1
Direct
0.000 0.000 0.000 Al
0.244 0.244 0.244 Si
0.756 0.756 0.756 Si
0.500 0.500 0.500 Ru



Entry 3:
AcTbCd4 PBE optimized geometry; space-group type = No. 25; offset from the most stable computed form = 6.32 kcal/mol of atoms; calculated formation energy = -48 meV per atom; E = -12.7 eV per formula unit; crystal system = orthorhombic
1.0
3.664 0.000 0.000
0.000 8.619 0.000
0.000 0.000 5.774
Ac Tb Cd
1 1 4
Direct
0.000 0.000 0.000 Ac
0.500 0.500 0.499 Tb
0.000 0.194 0.500 Cd
0.000 0.806 0.500 Cd
0.500 0.333 0.999 Cd
0.500 0.667 0.999 Cd



Entry 4:
InCuPbF6 PBE optimized geometry; space-group type = No. 163; raw formation energy = -2102 meV per atom; E = -40.7 eV per formula unit; crystal system = trigonal
1.0
5.704 0.000 0.000
-2.852 4.940 0.000
0.000 0.000 10.576
In Cu Pb F
2 2 2 12
Direct
0.333 0.667 0.250 In
0.667 0.333 0.750 In
0.333 0.667 0.750 Cu
0.667 0.333 0.250 Cu
0.000 0.000 0.000 Pb
0.000 0.000 0.500 Pb
0.017 0.362 0.139 F
0.017 0.655 0.361 F
0.345 0.362 0.361 F
0.345 0.983 0.139 F
0.362 0.017 0.639 F
0.362 0.345 0.861 F
0.638 0.655 0.139 F
0.638 0.983 0.361 F
0.655 0.017 0.861 F
0.655 0.638 0.639 F
0.983 0.345 0.639 F
0.983 0.638 0.861 F



Entry 5:
MnCr2H5 PBE optimized geometry; space-group type = No. 123; E = -43.5 eV per formula unit; crystal system = tetragonal
1.0
4.266 0.000 0.000
0.000 4.266 0.000
0.000 0.000 3.078
Mn Cr H
1 2 5
Direct
0.000 0.000 0.000 Mn
0.000 0.500 0.500 Cr
0.500 0.000 0.500 Cr
0.000 0.000 0.500 H
0.272 0.272 0.000 H
0.272 0.728 0.000 H
0.728 0.272 0.000 H
0.728 0.728 0.000 H



Entry 6:
Pm2AgHg4 PBE optimized geometry; space-group type = No. 166; offset from the most stable computed form = 0.00 kcal/mol of atoms; calculated formation energy = -284 meV per atom; E = -15.5 eV per formula unit; crystal system = trigonal
1.0
2.556 1.476 8.251
-2.556 1.476 8.251
0.000 -2.951 8.251
Pm Ag Hg
2 1 4
Direct
0.247 0.247 0.247 Pm
0.753 0.753 0.753 Pm
0.500 0.500 0.500 Ag
0.121 0.121 0.121 Hg
0.373 0.373 0.373 Hg
0.627 0.627 0.627 Hg
0.879 0.879 0.879 Hg



Entry 7:
Pu4CCl5 PBE optimized geometry; space-group type = No. 12; raw formation energy = -1300 meV per atom; E = -88.8 eV per formula unit; crystal system = monoclinic
1.0
8.552 -1.870 0.000
8.552 1.870 0.000
-1.708 0.000 7.746
Pu C Cl
4 1 5
Direct
0.001 0.001 0.284 Pu
0.350 0.350 0.430 Pu
0.650 0.650 0.570 Pu
0.999 0.999 0.716 Pu
0.500 0.500 0.500 C
0.165 0.165 0.836 Cl
0.172 0.172 0.316 Cl
0.500 0.500 0.000 Cl
0.828 0.828 0.684 Cl
0.835 0.835 0.164 Cl



Entry 8:
La5Pr3Y3 PBE optimized geometry; space-group type = No. 189; calculated formation energy = 290 meV per atom; E = -55.2 eV per formula unit; crystal system = hexagonal
1.0
11.585 0.000 0.000
-5.793 10.033 0.000
0.000 0.000 3.497
La Pr Y
5 3 3
Direct
0.000 0.337 0.000 La
0.333 0.667 0.000 La
0.337 0.000 0.000 La
0.663 0.663 0.000 La
0.667 0.333 0.000 La
0.000 0.596 0.500 Pr
0.404 0.404 0.500 Pr
0.596 0.000 0.500 Pr
0.000 0.840 0.000 Y
0.160 0.160 0.000 Y
0.840 0.000 0.000 Y



Entry 9:
RbSi3Os PBE optimized geometry; space-group type = No. 221; offset from the most stable computed form = 63.31 kcal/mol of atoms; raw formation energy = 3221 meV per atom; E = -12.4 eV per formula unit; crystal system = cubic
1.0
5.072 0.000 0.000
0.000 5.072 0.000
0.000 0.000 5.072
Rb Si Os
1 3 1
Direct
0.000 0.000 0.000 Rb
0.000 0.000 0.500 Si
0.000 0.500 0.000 Si
0.500 0.000 0.000 Si
0.500 0.500 0.500 Os



Entry 10:
LaMgFe2 PBE optimized geometry; space-group type = No. 123; calculated formation energy = 403 meV per atom; E = -21.8 eV per formula unit; crystal system = tetragonal
1.0
4.687 0.000 0.000
0.000 4.687 0.000
0.000 0.000 3.410
La Mg Fe
1 1 2
Direct
0.000 0.000 0.000 La
0.500 0.500 0.000 Mg
0.000 0.500 0.500 Fe
0.500 0.000 0.500 Fe



Entry 11:
GdYTlRh PBE optimized geometry; space-group type = No. 216; calculated formation energy = -484 meV per atom; E = -32.2 eV per formula unit; crystal system = cubic
1.0
0.000 3.640 3.640
3.640 0.000 3.640
3.640 3.640 0.000
Gd Y Tl Rh
1 1 1 1
Direct
0.000 0.000 0.000 Gd
0.500 0.500 0.500 Y
0.250 0.250 0.250 Tl
0.750 0.750 0.750 Rh



Entry 12:
K2BaTe PBE optimized geometry; space-group type = No. 139; raw formation energy = -575 meV per atom; E = -9.6 eV per formula unit; crystal system = tetragonal
1.0
-2.582 2.582 7.291
2.582 -2.582 7.291
2.582 2.582 -7.291
K Ba Te
2 1 1
Direct
0.250 0.750 0.500 K
0.750 0.250 0.500 K
0.000 0.000 0.000 Ba
0.500 0.500 0.000 Te